[1]
ReAgPO2 at its PBEsol-relaxed geometry. Source: Alexandria via LeMat-Bulk, functional SCAN.

```
ReAgPO2
1.0
3.731 0.000 0.000
0.000 3.731 0.000
0.000 0.000 5.101
Re Ag P O
1 1 1 2
Direct
0.000 0.000 0.000
0.500 0.500 0.500
0.000 0.000 0.500
0.000 0.500 0.000
0.500 0.000 0.000
```

Values from the calculation:
Total magnetization ... 0.0 μB/f.u.
Raw total energy ... -25.7643 eV/atom
Formation energy from raw total energies ... -0.70 eV/atom
Calculated volume ... 71.0 Å³ per cell



[2]
Ag5PSeO4 at its PBEsol-relaxed geometry. Source: Alexandria via LeMat-Bulk, functional SCAN.

```
Ag5PSeO4
1.0
6.786 0.000 0.000
0.000 6.786 0.000
0.000 0.000 7.207
Ag P Se O
10 2 2 8
Direct
0.033 0.033 0.192
0.033 0.467 0.192
0.250 0.250 0.464
0.467 0.033 0.192
0.467 0.467 0.192
0.533 0.533 0.808
0.533 0.967 0.808
0.750 0.750 0.536
0.967 0.533 0.808
0.967 0.967 0.808
0.250 0.750 0.500
0.750 0.250 0.500
0.250 0.250 0.986
0.750 0.750 0.014
0.062 0.750 0.375
0.250 0.562 0.625
0.250 0.938 0.625
0.438 0.750 0.375
0.562 0.250 0.625
0.750 0.062 0.375
0.750 0.438 0.375
0.938 0.250 0.625
```

Values from the calculation:
Total magnetization ... 0.0 μB/f.u.
Raw total energy ... -20.2809 eV/atom
Formation energy from raw total energies ... -0.99 eV/atom
Calculated volume ... 331.9 Å³ per cell



[3]
TaAgP2O at its PBEsol-relaxed geometry. Source: Alexandria via LeMat-Bulk, functional SCAN.

```
TaAgP2O
1.0
4.656 0.000 0.000
0.000 4.656 0.000
0.000 0.000 3.768
Ta Ag P O
1 1 2 1
Direct
0.000 0.000 0.000
0.500 0.500 0.500
0.000 0.500 0.500
0.500 0.000 0.500
0.500 0.500 0.000
```

Values from the calculation:
Total magnetization ... 0.5 μB/f.u.
Raw total energy ... -23.9975 eV/atom
Formation energy from raw total energies ... 1.00 eV/atom
Calculated volume ... 81.7 Å³ per cell



[4]
Tl2Ag3P3O12 at its PBEsol-relaxed geometry. Source: Alexandria via LeMat-Bulk, functional SCAN.

```
Tl2Ag3P3O12
1.0
6.408 -6.530 0.000
6.408 6.530 0.000
-2.856 0.000 6.110
Tl Ag P O
4 6 6 24
Direct
0.071 0.380 0.158
0.380 0.071 0.658
0.620 0.929 0.342
0.929 0.620 0.842
0.009 0.991 0.250
0.295 0.705 0.750
0.500 0.500 0.000
0.500 0.500 0.500
0.705 0.295 0.250
0.991 0.009 0.750
0.126 0.332 0.630
0.282 0.718 0.250
0.332 0.126 0.130
0.668 0.874 0.870
0.718 0.282 0.750
0.874 0.668 0.370
0.001 0.671 0.585
0.057 0.400 0.819
0.149 0.159 0.617
0.159 0.149 0.117
0.166 0.738 0.042
0.262 0.834 0.458
0.269 0.553 0.273
0.278 0.423 0.663
0.329 0.999 0.915
0.400 0.057 0.319
0.423 0.278 0.163
0.447 0.731 0.227
0.553 0.269 0.773
0.577 0.722 0.837
0.600 0.943 0.681
0.671 0.001 0.085
0.722 0.577 0.337
0.731 0.447 0.727
0.738 0.166 0.542
0.834 0.262 0.958
0.841 0.851 0.883
0.851 0.841 0.383
0.943 0.600 0.181
0.999 0.329 0.415
```

Values from the calculation:
Total magnetization ... 0.0 μB/f.u.
Raw total energy ... -18.8042 eV/atom
Formation energy from raw total energies ... -1.56 eV/atom
Calculated volume ... 511.3 Å³ per cell



[5]
VAg2PO6 at its PBEsol-relaxed geometry. Source: Alexandria via LeMat-Bulk, functional SCAN.

```
VAg2PO6
1.0
6.266 -3.124 0.000
6.266 3.124 0.000
-0.222 0.000 6.216
V Ag P O
2 4 2 12
Direct
0.109 0.109 0.408
0.891 0.891 0.592
0.115 0.607 0.117
0.393 0.885 0.883
0.607 0.115 0.117
0.885 0.393 0.883
0.349 0.349 0.654
0.651 0.651 0.346
0.016 0.016 0.707
0.185 0.582 0.524
0.189 0.189 0.202
0.225 0.225 0.671
0.403 0.403 0.879
0.418 0.815 0.476
0.582 0.185 0.524
0.597 0.597 0.121
0.775 0.775 0.329
0.811 0.811 0.798
0.815 0.418 0.476
0.984 0.984 0.293
```

Values from the calculation:
Total magnetization ... 0.0 μB/f.u.
Raw total energy ... -14.6419 eV/atom
Formation energy from raw total energies ... -1.84 eV/atom
Calculated volume ... 243.3 Å³ per cell



[6]
YAgPO2 at its PBEsol-relaxed geometry. Source: Alexandria via LeMat-Bulk, functional SCAN.

```
YAgPO2
1.0
4.080 0.000 0.000
0.000 4.080 0.000
0.000 0.000 4.617
Y Ag P O
1 1 1 2
Direct
0.000 0.000 0.000
0.500 0.500 0.500
0.500 0.500 0.000
0.000 0.500 0.500
0.500 0.000 0.500
```

Values from the calculation:
Total magnetization ... 0.0 μB/f.u.
Raw total energy ... -17.0669 eV/atom
Formation energy from raw total energies ... -0.65 eV/atom
Calculated volume ... 76.8 Å³ per cell



[7]
ZnAg2P2O7 at its PBEsol-relaxed geometry. Source: Alexandria via LeMat-Bulk, functional SCAN.

```
ZnAg2P2O7
1.0
7.775 0.000 0.000
0.000 7.775 0.000
0.000 0.000 10.286
Zn Ag P O
4 8 8 28
Direct
0.000 0.500 0.250
0.000 0.500 0.750
0.500 0.000 0.250
0.500 0.000 0.750
0.135 0.135 0.000
0.200 0.200 0.500
0.300 0.700 0.000
0.365 0.635 0.500
0.635 0.365 0.500
0.700 0.300 0.000
0.800 0.800 0.500
0.865 0.865 0.000
0.139 0.861 0.291
0.139 0.861 0.709
0.361 0.361 0.209
0.361 0.361 0.791
0.639 0.639 0.209
0.639 0.639 0.791
0.861 0.139 0.291
0.861 0.139 0.709
0.000 0.000 0.347
0.000 0.000 0.653
0.080 0.692 0.354
0.080 0.692 0.646
0.135 0.865 0.144
0.135 0.865 0.856
0.192 0.420 0.146
0.192 0.420 0.854
0.308 0.920 0.354
0.308 0.920 0.646
0.365 0.365 0.356
0.365 0.365 0.644
0.420 0.192 0.146
0.420 0.192 0.854
0.500 0.500 0.153
0.500 0.500 0.847
0.580 0.808 0.146
0.580 0.808 0.854
0.635 0.635 0.356
0.635 0.635 0.644
0.692 0.080 0.354
0.692 0.080 0.646
0.808 0.580 0.146
0.808 0.580 0.854
0.865 0.135 0.144
0.865 0.135 0.856
0.920 0.308 0.354
0.920 0.308 0.646
```

Values from the calculation:
Total magnetization ... 0.0 μB/f.u.
Raw total energy ... -13.5056 eV/atom
Formation energy from raw total energies ... -1.78 eV/atom
Calculated volume ... 621.8 Å³ per cell



[8]
ZnAg3P3O13 at its PBEsol-relaxed geometry. Source: Alexandria via LeMat-Bulk, functional SCAN.

```
ZnAg3P3O13
1.0
7.756 0.000 0.000
0.000 6.436 0.000
-2.228 0.000 10.132
Zn Ag P O
2 6 6 26
Direct
0.054 0.250 0.224
0.946 0.750 0.776
0.222 0.250 0.740
0.229 0.750 0.389
0.500 0.000 0.000
0.500 0.500 0.000
0.771 0.250 0.611
0.778 0.750 0.260
0.178 0.750 0.074
0.252 0.250 0.476
0.290 0.750 0.715
0.710 0.250 0.285
0.748 0.750 0.524
0.822 0.250 0.926
0.020 0.750 0.959
0.094 0.250 0.549
0.094 0.750 0.199
0.164 0.567 0.735
0.164 0.933 0.735
0.218 0.070 0.369
0.218 0.430 0.369
0.293 0.552 0.084
0.293 0.948 0.084
0.346 0.750 0.581
0.359 0.250 0.923
0.420 0.250 0.579
0.461 0.750 0.818
0.539 0.250 0.182
0.580 0.750 0.421
0.641 0.750 0.077
0.654 0.250 0.419
0.707 0.052 0.916
0.707 0.448 0.916
0.782 0.570 0.631
0.782 0.930 0.631
0.836 0.067 0.265
0.836 0.433 0.265
0.906 0.250 0.801
0.906 0.750 0.451
0.980 0.250 0.041
```

Values from the calculation:
Total magnetization ... 0.0 μB/f.u.
Raw total energy ... -12.3995 eV/atom
Formation energy from raw total energies ... -1.41 eV/atom
Calculated volume ... 505.8 Å³ per cell



[9]
Ag5Pb2O6 at its PBEsol-relaxed geometry. Source: Alexandria via LeMat-Bulk, functional SCAN.

```
Ag5Pb2O6
1.0
5.912 0.000 0.000
-2.956 5.120 0.000
0.000 0.000 6.426
Ag Pb O
5 2 6
Direct
0.000 0.000 0.220
0.000 0.000 0.780
0.000 0.500 0.000
0.500 0.000 0.000
0.500 0.500 0.000
0.333 0.667 0.500
0.667 0.333 0.500
0.000 0.375 0.695
0.000 0.625 0.305
0.375 0.000 0.695
0.375 0.375 0.305
0.625 0.000 0.305
0.625 0.625 0.695
```

Values from the calculation:
Total magnetization ... 0.0 μB/f.u.
Raw total energy ... -27.1275 eV/atom
Formation energy from raw total energies ... -0.53 eV/atom
Calculated volume ... 194.5 Å³ per cell



[10]
Ag9Pb4O12 at its PBEsol-relaxed geometry. Source: Alexandria via LeMat-Bulk, functional SCAN.

```
Ag9Pb4O12
1.0
8.632 0.000 0.000
0.000 10.240 0.000
-7.877 0.000 8.618
Ag Pb O
18 8 24
Direct
0.000 0.000 0.000
0.000 0.500 0.500
0.001 0.007 0.745
0.001 0.493 0.245
0.007 0.748 0.127
0.007 0.752 0.627
0.218 0.743 0.986
0.218 0.757 0.486
0.227 0.244 0.242
0.227 0.256 0.742
0.773 0.744 0.258
0.773 0.756 0.758
0.782 0.243 0.514
0.782 0.257 0.014
0.993 0.248 0.373
0.993 0.252 0.873
0.999 0.507 0.755
0.999 0.993 0.255
0.493 0.081 0.625
0.493 0.419 0.125
0.500 0.084 0.127
0.500 0.416 0.627
0.500 0.584 0.373
0.500 0.916 0.873
0.507 0.581 0.875
0.507 0.919 0.375
0.300 0.249 0.589
0.300 0.251 0.089
0.303 0.058 0.372
0.303 0.442 0.872
0.304 0.566 0.618
0.304 0.934 0.118
0.310 0.066 0.872
0.310 0.434 0.372
0.313 0.566 0.126
0.313 0.748 0.844
0.313 0.752 0.344
0.313 0.934 0.626
0.687 0.066 0.374
0.687 0.248 0.656
0.687 0.252 0.156
0.687 0.434 0.874
0.690 0.566 0.628
0.690 0.934 0.128
0.696 0.066 0.882
0.696 0.434 0.382
0.697 0.558 0.128
0.697 0.942 0.628
0.700 0.749 0.911
0.700 0.751 0.411
```

Values from the calculation:
Total magnetization ... 0.0 μB/f.u.
Raw total energy ... -26.9385 eV/atom
Formation energy from raw total energies ... -0.53 eV/atom
Calculated volume ... 761.8 Å³ per cell



[11]
Ag7Pb3O9 at its PBEsol-relaxed geometry. Source: Alexandria via LeMat-Bulk, functional SCAN.

```
Ag7Pb3O9
1.0
7.029 -5.063 0.000
7.029 5.063 0.000
-3.323 0.000 8.081
Ag Pb O
14 6 18
Direct
0.000 0.500 0.000
0.072 0.072 0.422
0.163 0.163 0.827
0.173 0.659 0.332
0.255 0.255 0.234
0.341 0.827 0.668
0.412 0.412 0.102
0.500 0.000 0.000
0.588 0.588 0.898
0.659 0.173 0.332
0.745 0.745 0.766
0.827 0.341 0.668
0.837 0.837 0.173
0.928 0.928 0.578
0.170 0.830 0.000
0.171 0.498 0.664
0.498 0.171 0.664
0.502 0.829 0.336
0.829 0.502 0.336
0.830 0.170 0.000
0.105 0.105 0.015
0.106 0.477 0.392
0.151 0.772 0.727
0.187 0.556 0.937
0.223 0.223 0.642
0.228 0.849 0.273
0.439 0.439 0.688
0.444 0.813 0.063
0.477 0.106 0.392
0.523 0.894 0.608
0.556 0.187 0.937
0.561 0.561 0.312
0.772 0.151 0.727
0.777 0.777 0.358
0.813 0.444 0.063
0.849 0.228 0.273
0.894 0.523 0.608
0.895 0.895 0.985
```

Values from the calculation:
Total magnetization ... 0.0 μB/f.u.
Raw total energy ... -27.0035 eV/atom
Formation energy from raw total energies ... -0.53 eV/atom
Calculated volume ... 575.2 Å³ per cell



[12]
AgPdO2 at its PBEsol-relaxed geometry. Source: Alexandria via LeMat-Bulk, functional SCAN.

```
AgPdO2
1.0
6.145 0.000 0.000
0.000 3.017 0.000
-2.938 0.000 5.589
Ag Pd O
2 2 4
Direct
0.000 0.000 0.000
0.000 0.000 0.500
0.500 0.000 0.000
0.500 0.500 0.500
0.259 0.000 0.360
0.404 0.500 0.765
0.596 0.500 0.235
0.741 0.000 0.640
```

Values from the calculation:
Total magnetization ... 0.0 μB/f.u.
Raw total energy ... -19.6285 eV/atom
Formation energy from raw total energies ... -0.48 eV/atom
Calculated volume ... 103.6 Å³ per cell



[13]
AgPdO2 at its PBEsol-relaxed geometry. Source: Alexandria via LeMat-Bulk, functional SCAN.

```
AgPdO2
1.0
2.989 0.000 0.000
0.000 3.326 0.000
0.000 0.000 5.377
Ag Pd O
1 1 2
Direct
0.000 0.000 0.000
0.500 0.500 0.500
0.000 0.500 0.254
0.000 0.500 0.746
```

Values from the calculation:
Total magnetization ... 0.0 μB/f.u.
Raw total energy ... -19.5889 eV/atom
Formation energy from raw total energies ... -0.44 eV/atom
Calculated volume ... 53.4 Å³ per cell



[14]
AgPdSeO2 at its PBEsol-relaxed geometry. Source: Alexandria via LeMat-Bulk, functional SCAN.

```
AgPdSeO2
1.0
3.724 0.000 0.000
0.000 3.724 0.000
0.000 0.000 5.936
Ag Pd Se O
1 1 1 2
Direct
0.000 0.000 0.000
0.000 0.000 0.500
0.500 0.500 0.000
0.000 0.500 0.500
0.500 0.000 0.500
```

Values from the calculation:
Total magnetization ... 0.0 μB/f.u.
Raw total energy ... -19.1583 eV/atom
Formation energy from raw total energies ... 0.18 eV/atom
Calculated volume ... 82.3 Å³ per cell